Material: Co3SbO8
Method: DFT, PBE with a Hubbard U
State: optimized geometry

As for the density: 4.7 g/cm³. The value obtained for the relative energy among the computed polymorphs is 2.7 kJ per mole of atoms. For the calculated volume, the calculation gives 149.7 Å³/cell.

Geometry as CIF:
```
data_Co3SbO8
_cell_length_a 6.084
_cell_length_b 6.084
_cell_length_c 6.084
_cell_angle_alpha 57.39
_cell_angle_beta 57.39
_cell_angle_gamma 57.39
_symmetry_space_group_name_H-M 'P 1'
_symmetry_Int_Tables_number 1
loop_
_symmetry_equiv_pos_as_xyz
'x,y,z'
loop_
_atom_site_label
_atom_site_type_symbol
_atom_site_fract_x
_atom_site_fract_y
_atom_site_fract_z
O1 O 0.761 0.761 0.284
O2 O 0.239 0.716 0.239
O3 O 0.724 0.724 0.724
O4 O 0.284 0.761 0.761
O5 O 0.761 0.284 0.761
O6 O 0.239 0.239 0.716
O7 O 0.276 0.276 0.276
O8 O 0.716 0.239 0.239
Co1 Co 0.500 0.500 0.000
Co2 Co 0.500 0.000 0.500
Co3 Co 0.000 0.500 0.500
Sb1 Sb 0.000 0.000 0.000
```